[1]
Density functional theory data (PBE) for a geometry-optimized La14TlSn structure.

Cell: 7.2102 7.2102 10.5565 Å, 90.00 90.00 90.00°
Fractional positions:
La1 0.0000 0.0000 0.0000
La2 0.0000 0.5000 0.0000
La3 0.0000 0.5000 0.5000
La4 0.2476 0.2476 0.2583
La5 0.2476 0.2476 0.7417
La6 0.2476 0.7524 0.2583
La7 0.2476 0.7524 0.7417
La8 0.5000 0.0000 0.0000
La9 0.5000 0.0000 0.5000
La10 0.5000 0.5000 0.0000
La11 0.7524 0.2476 0.2583
La12 0.7524 0.2476 0.7417
La13 0.7524 0.7524 0.2583
La14 0.7524 0.7524 0.7417
Tl1 0.5000 0.5000 0.5000
Sn1 0.0000 0.0000 0.5000

Values from the calculation:
For the density of states at the Fermi level, the calculation gives 17.7 states/eV/cell. The energy of formation comes out at -0.166 eV per atom. The crystal system is tetragonal. For the final energy, the calculation gives -4.88 eV/atom.

---

[2]
Density functional theory data (PBE) for a geometry-optimized La2Tl5Sn structure.

Cell: 7.0130 13.8295 4.7878 Å, 90.00 90.00 90.00°
Fractional positions:
La1 0.2376 0.1209 0.0000
La2 0.2624 0.6209 0.0000
La3 0.7376 0.3791 0.0000
La4 0.7624 0.8791 0.0000
Tl1 0.0000 0.5000 0.5000
Tl2 0.0146 0.7514 0.5000
Tl3 0.2392 0.3722 0.0000
Tl4 0.2608 0.8722 0.0000
Tl5 0.4854 0.2514 0.5000
Tl6 0.5000 0.0000 0.5000
Tl7 0.5146 0.7486 0.5000
Tl8 0.7392 0.1278 0.0000
Tl9 0.7608 0.6278 0.0000
Tl10 0.9854 0.2486 0.5000
Sn1 0.0000 0.0000 0.5000
Sn2 0.5000 0.5000 0.5000

Values from the calculation:
For the density of states at the Fermi level, the calculation gives 6.7 states/eV/cell. The energy of formation comes out at -0.400 eV per atom. The crystal system is orthorhombic. For the final energy, the calculation gives -3.61 eV/atom.

---

[3]
Density functional theory data (PBE) for a geometry-optimized La12TlSn3 structure.

Cell: 5.0474 5.0474 20.1412 Å, 90.00 90.00 90.00°
Fractional positions:
La1 0.0000 0.0000 0.0000
La2 0.0000 0.0000 0.2482
La3 0.0000 0.0000 0.5000
La4 0.0000 0.0000 0.7518
La5 0.0000 0.5000 0.1240
La6 0.0000 0.5000 0.3722
La7 0.0000 0.5000 0.6278
La8 0.0000 0.5000 0.8760
La9 0.5000 0.0000 0.1240
La10 0.5000 0.0000 0.3722
La11 0.5000 0.0000 0.6278
La12 0.5000 0.0000 0.8760
Tl1 0.5000 0.5000 0.5000
Sn1 0.5000 0.5000 0.0000
Sn2 0.5000 0.5000 0.2495
Sn3 0.5000 0.5000 0.7505

Values from the calculation:
For the density of states at the Fermi level, the calculation gives 23.0 states/eV/cell. The energy of formation comes out at -0.431 eV per atom. The crystal system is tetragonal. For the final energy, the calculation gives -5.02 eV/atom.

---

[4]
Density functional theory data (PBE) for a geometry-optimized La3TlSn structure.

Cell: 3.5739 9.3348 9.5617 Å, 75.52 89.93 89.98°
Fractional positions:
La1 0.9996 0.1842 0.4011
La2 0.0004 0.8158 0.5989
La3 0.0008 0.6332 0.3646
La4 0.0016 0.2138 0.0069
La5 0.9984 0.7862 0.9931
La6 0.9992 0.3668 0.6354
Tl1 0.4994 0.5474 0.8330
Tl2 0.5006 0.4526 0.1670
Sn1 0.4996 0.0560 0.7458
Sn2 0.5004 0.9440 0.2542

Values from the calculation:
For the density of states at the Fermi level, the calculation gives 12.1 states/eV/cell. For the offset from the most stable computed form, the calculation gives 0.00 eV per formula unit. The energy of formation comes out at -0.417 eV per atom. The crystal system is triclinic. For the final energy, the calculation gives -4.65 eV/atom.